Below is a relaxed Er2CdSi crystal, with properties calculated at the GGA-PBE level.

Lattice parameters (Å, degrees): 4.3178 4.3178 19.7953 90.00 90.00 120.00
Space group R-3m (No. 166, hexagonal axes)
Symmetry-distinct sites (fractional):
Er (0.0000, 0.0000, 0.2345) [6 per cell]
Cd (0.0000, 0.0000, 0.0000) [3 per cell]
Si (0.0000, 0.0000, 0.5000) [3 per cell]

The value obtained for the energy relative to the elements, uncorrected is -32.6 kJ per mole of atoms. The crystal system is trigonal. As for the magnetic moment: 0.00 μB/f.u.



Below is a relaxed U8Tc2Os3 crystal, with properties calculated at the GGA-PBE level.

Lattice parameters (Å, degrees): 10.9805 9.6451 5.2981 90.00 117.19 90.00
Space group C2/m (No. 12)
Symmetry-distinct sites (fractional):
U (0.0783, 0.0000, 0.2711) [4 per cell]
U (0.1286, 0.5000, 0.5626) [4 per cell]
U (0.1706, 0.2510, 0.1408) [8 per cell]
Tc (0.2098, 0.0000, 0.8652) [4 per cell]
Os (0.0000, 0.2227, 0.5000) [4 per cell]
Os (0.0000, 0.5000, 0.0000) [2 per cell]

The formation energy comes out at 0.181 eV per formula unit. The crystal system is monoclinic. As for the magnetic moment: 0.99 μB/f.u.



Below is a relaxed K2NaHg6Pd crystal, with properties calculated at the GGA-PBE level.

Lattice parameters (Å, degrees): 6.5649 7.4808 8.0457 82.39 65.94 64.02
Space group P-1 (No. 2)
Symmetry-distinct sites (fractional):
K (0.0316, 0.2252, 0.2134) [2 per cell]
Na (0.5000, 0.5000, 0.0000) [1 per cell]
Hg (0.0173, 0.2290, 0.7386) [2 per cell]
Hg (0.3535, 0.3958, 0.4010) [2 per cell]
Hg (0.4890, 0.7714, 0.2582) [2 per cell]
Pd (0.5000, 0.0000, 0.5000) [1 per cell]

The formation energy comes out at -1.892 eV per formula unit. The crystal system is triclinic. As for the magnetic moment: 0.00 μB/f.u.



> Number 2 is which compound?

U8Tc2Os3



> What is the magnetic moment in the second record?

0.99 μB/f.u.